Computed, not measured: a relaxed structure of La4Ce3PaAs8 at the PBE level of DFT.

Computed properties:
E_tot: -107.5 eV for the cell shown
space-group type: R-3m, No. 166
total magnetization: 0.151 μB per atom
D(E_F): 21.72 states/eV per cell

abc: 8.543 8.566 8.543
angles: 119.91 120.00 90.00
Fractional positions:
La (0.000, 0.000, 0.000)
La (0.000, 0.000, 0.500)
La (0.500, 0.000, 0.500)
La (0.500, 0.000, 0.000)
As (0.758, 0.265, 0.006)
As (0.254, 0.261, 0.507)
As (0.746, 0.739, 0.493)
As (0.242, 0.735, 0.994)
As (0.242, 0.735, 0.483)
As (0.752, 0.735, 0.994)
As (0.758, 0.265, 0.517)
As (0.248, 0.265, 0.006)
Pa (0.000, 0.500, 0.000)
Ce (0.500, 0.500, 0.500)
Ce (0.500, 0.500, 0.000)
Ce (0.000, 0.500, 0.500)

Computed, not measured: a relaxed structure of LaCeAs2Pd2 at the PBE level of DFT.

Computed properties:
E_tot: -37.7 eV for the cell shown
space-group type: P-3m1, No. 164
total magnetization: 0.181 μB per atom
D(E_F): 6.80 states/eV per cell

abc: 4.394 4.394 7.925
angles: 90.00 90.00 120.00
Fractional positions:
La (0.000, 0.000, 0.500)
Pd (0.333, 0.667, 0.761)
Pd (0.667, 0.333, 0.239)
As (0.333, 0.667, 0.247)
As (0.667, 0.333, 0.753)
Ce (0.000, 0.000, 0.000)

Computed, not measured: a relaxed structure of La2CePmAs4 at the PBE level of DFT.

Computed properties:
E_tot: -51.4 eV for the cell shown
space-group type: P2/m, No. 10
total magnetization: 0.076 μB per atom
D(E_F): 6.20 states/eV per cell

abc: 4.301 7.445 7.458
angles: 109.42 90.00 90.00
Fractional positions:
Pm (0.000, 0.000, 0.000)
Ce (0.500, 0.500, 0.000)
As (0.500, 0.750, 0.758)
As (0.000, 0.255, 0.759)
As (0.500, 0.250, 0.242)
As (0.000, 0.745, 0.241)
La (0.500, 0.000, 0.500)
La (0.000, 0.500, 0.500)

Computed, not measured: a relaxed structure of La2Ce3PmAs6 at the PBE level of DFT.

Computed properties:
E_tot: -78.2 eV for the cell shown
space-group type: C2/m, No. 12
total magnetization: 0.163 μB per atom
D(E_F): 17.05 states/eV per cell

abc: 7.401 7.401 7.408
angles: 99.59 99.59 120.00
Fractional positions:
Ce (0.833, 0.167, 0.500)
Ce (0.500, 0.500, 0.500)
Ce (0.167, 0.833, 0.500)
As (0.757, 0.757, 0.259)
As (0.416, 0.086, 0.258)
As (0.243, 0.243, 0.741)
As (0.914, 0.584, 0.742)
As (0.086, 0.416, 0.258)
As (0.584, 0.914, 0.742)
La (0.334, 0.666, 0.000)
La (0.666, 0.334, 0.000)
Pm (0.000, 0.000, 0.000)

Computed, not measured: a relaxed structure of LaCe2PmAs4 at the PBE level of DFT.

Computed properties:
E_tot: -52.1 eV for the cell shown
space-group type: P2/m, No. 10
total magnetization: 0.159 μB per atom
D(E_F): 11.29 states/eV per cell

abc: 4.261 7.383 7.382
angles: 70.56 90.00 90.00
Fractional positions:
As (0.000, 0.759, 0.744)
As (0.500, 0.244, 0.749)
As (0.500, 0.756, 0.251)
As (0.000, 0.241, 0.256)
Ce (0.000, 0.000, 0.000)
Ce (0.500, 0.000, 0.500)
La (0.500, 0.500, 0.000)
Pm (0.000, 0.500, 0.500)

Computed, not measured: a relaxed structure of LaCe2Pm3As6 at the PBE level of DFT.

Computed properties:
E_tot: -77.0 eV for the cell shown
space-group type: C2/m, No. 12
total magnetization: 0.102 μB per atom
D(E_F): 11.68 states/eV per cell

abc: 7.370 7.370 7.364
angles: 99.60 99.60 119.99
Fractional positions:
As (0.577, 0.917, 0.751)
As (0.743, 0.743, 0.249)
As (0.423, 0.083, 0.249)
As (0.083, 0.423, 0.249)
As (0.257, 0.257, 0.751)
As (0.917, 0.577, 0.751)
Ce (0.667, 0.333, 0.000)
Ce (0.333, 0.667, 0.000)
Pm (0.835, 0.165, 0.500)
Pm (0.500, 0.500, 0.500)
Pm (0.165, 0.835, 0.500)
La (0.000, 0.000, 0.000)